No. 1
DFT (PBE) results for an optimized crystal structure of Sm4TlSbO.

Properties
**Calculated volume**: 26.78 Å³/atom
**Space-group type**: Cmcm, No. 63
**DOS at the Fermi energy**: 12.9 states/eV/cell
**Formation energy without anion corrections**: -1.24 eV per atom

abc: 6.527 6.602 9.293
angles: 90.00 110.56 90.00
Positions (direct):
Sm1 0.923 0.250 0.846
Sm2 0.430 0.750 0.859
Sm3 0.077 0.750 0.154
Sm4 0.570 0.250 0.141
Sm5 0.500 0.500 0.500
Sm6 0.000 0.000 0.500
Sm7 0.500 0.000 0.500
Sm8 0.000 0.500 0.500
Tl1 0.109 0.250 0.219
Tl2 0.891 0.750 0.781
Sb1 0.613 0.750 0.225
Sb2 0.387 0.250 0.775
O1 0.214 0.750 0.428
O2 0.786 0.250 0.572

***

No. 2
DFT (PBE) results for an optimized crystal structure of ZrBrCl.

Properties
**Calculated volume**: 25.61 Å³/atom
**Space-group type**: I4mm, No. 107
**DOS at the Fermi energy**: 0.6 states/eV/cell
**Formation energy without anion corrections**: -1.18 eV per atom

abc: 7.454 7.454 7.454
angles: 154.47 154.47 36.42
Last column: magnetic moment on the atom in μB.
Positions (direct):
Br1 0.052 0.052 0.000  0.00
Zr1 0.670 0.670 0.000  0.29
Cl1 0.278 0.278 0.000  0.00

***

No. 3
DFT (PBE) results for an optimized crystal structure of Tl2AsBr.

Properties
**Calculated volume**: 31.06 Å³/atom
**Space-group type**: R-3m, No. 166
**DOS at the Fermi energy**: 1.8 states/eV/cell
**Formation energy without anion corrections**: -0.18 eV per atom
**Offset from the most stable computed form**: 4.4 meV per atom

abc: 7.605 7.605 7.605
angles: 34.25 34.25 34.25
Positions (direct):
Tl1 0.983 0.983 0.983
Tl2 0.517 0.517 0.517
As1 0.250 0.250 0.250
Br1 0.750 0.750 0.750

***

No. 4
DFT (PBE) results for an optimized crystal structure of NdMgInRh.

Properties
**Calculated volume**: 22.17 Å³/atom
**Energy of formation**: -0.3621 eV per atom
**Space-group type**: F-43m, No. 216
**DOS at the Fermi energy**: 3.2 states/eV/cell

abc: 5.005 5.005 5.005
angles: 60.00 60.00 60.00
Positions (direct):
Rh1 0.750 0.750 0.750
Mg1 0.000 0.000 0.000
Nd1 0.500 0.500 0.500
In1 0.250 0.250 0.250

***

No. 5
DFT (PBE) results for an optimized crystal structure of Nd4Hg.

Properties
**Calculated volume**: 40.18 Å³/atom
**Energy of formation**: 0.2391 eV per atom
**Space-group type**: Pm-3m, No. 221
**DOS at the Fermi energy**: 7.2 states/eV/cell
**Offset from the most stable computed form**: 419.0 meV per atom

abc: 5.857 5.857 5.857
angles: 90.00 90.00 90.00
Positions (direct):
Nd1 0.000 0.000 0.000
Nd2 0.500 0.000 0.500
Nd3 0.000 0.500 0.500
Nd4 0.500 0.500 0.000
Hg1 0.500 0.500 0.500

***

No. 6
DFT (PBE) results for an optimized crystal structure of Dy2ThSc5.

Properties
**Calculated volume**: 27.05 Å³/atom
**Energy of formation**: 0.0476 eV per atom
**Space-group type**: Pbam, No. 55
**DOS at the Fermi energy**: 27.4 states/eV/cell
**Offset from the most stable computed form**: 17.0 meV per atom

abc: 4.834 6.683 13.398
angles: 90.00 90.00 90.00
Positions (direct):
Dy1 0.500 0.259 0.627
Dy2 0.500 0.741 0.373
Dy3 0.500 0.241 0.127
Dy4 0.500 0.759 0.873
Th1 0.000 0.000 0.500
Th2 0.000 0.500 0.000
Sc1 0.000 0.000 0.000
Sc2 0.000 0.500 0.500
Sc3 0.000 0.514 0.750
Sc4 0.000 0.486 0.250
Sc5 0.000 0.986 0.250
Sc6 0.000 0.014 0.750
Sc7 0.500 0.262 0.876
Sc8 0.500 0.738 0.124
Sc9 0.500 0.238 0.376
Sc10 0.500 0.762 0.624

***

No. 7
DFT (PBE) results for an optimized crystal structure of UPaFe2P2.

Properties
**Calculated volume**: 16.13 Å³/atom
**Energy of formation**: -0.8875 eV per atom
**Space-group type**: P-3m1, No. 164
**DOS at the Fermi energy**: 4.9 states/eV/cell

abc: 3.889 3.889 7.390
angles: 90.00 90.00 120.00
Last column: magnetic moment on the atom in μB.
Positions (direct):
U1 0.000 0.000 0.500  -0.95
Pa1 0.000 0.000 0.000  -0.17
Fe1 0.667 0.333 0.280  0.31
Fe2 0.333 0.667 0.720  0.31
P1 0.667 0.333 0.760  0.01
P2 0.333 0.667 0.240  0.01

***

No. 8
DFT (PBE) results for an optimized crystal structure of LaRhAu.

Properties
**Calculated volume**: 23.75 Å³/atom
**Energy of formation**: -0.6739 eV per atom
**Space-group type**: Pmma, No. 51
**DOS at the Fermi energy**: 2.7 states/eV/cell

abc: 3.914 4.726 7.707
angles: 89.99 90.00 90.00
Positions (direct):
La1 0.312 0.716 0.117
La2 0.312 0.216 0.676
Rh1 0.812 0.216 0.956
Rh2 0.812 0.716 0.836
Au1 0.812 0.216 0.304
Au2 0.812 0.716 0.489

***

- What is the DOS at the Fermi energy in the seventh record?
  4.9 states/eV/cell

***

- Number 2 is which compound?
  ZrBrCl